The following is a DFT calculation (PBE) of a relaxed AcAgNO crystal.

## Properties
**ΔE to the lowest computed polymorph**: 0.0 kJ per mole of atoms

a b c (Å): 4.051 4.051 8.312
angles (deg): 90.00 90.00 90.00
Space group P4/nmm (No. 129, origin choice 2)
One atom of each set of equivalent atoms:
Ac 0.250 0.250 0.162 x2
Ag 0.250 0.750 0.500 x2
N 0.250 0.250 0.650 x2
O 0.250 0.750 0.000 x2